Material: Hf2VInN
Method: DFT, PBE
State: relaxed

It has space group P4/mmm (No. 123), with a = 4.562 Å, b = 4.562 Å, c = 3.905 Å, α = 90.00°, β = 90.00° and γ = 90.00°. The asymmetric unit holds Hf at (0.000, 0.500, 0.000), V at (0.000, 0.000, 0.500), In at (0.500, 0.500, 0.500) and N at (0.000, 0.000, 0.000).

The calculation puts the calculated total energy at -43.445 eV/f.u. As for the magnetization: 0.00 μB per cell.